1.
First-principles (PBE-GGA) data for crystalline PrHoEr2 at its relaxed geometry, as listed in Alexandria.

Output
density of states at the Fermi level	1.57	states/eV/atom
formation enthalpy at 0 K	0.017	eV per atom
E_tot	-36.833	eV per cell
E above lowest polymorph	0	meV per atom
size of the total moment	0.0	μB per formula unit
space group	Pmma (51)

a = 5.6801 Å, b = 3.6379 Å, c = 12.5364 Å
α = 90.00°, β = 90.00°, γ = 90.00°
With the nearest neighbours (Å) after each atom.
Sites, in units of the cell vectors:
Pr (0.2500, 0.0000, 0.1677)  8 Er 3.53-3.66, 2 Ho 3.55, 2 Pr 3.64
Pr (0.7500, 0.0000, 0.8323)  8 Er 3.53-3.66, 2 Ho 3.55, 2 Pr 3.64
Ho (0.2500, 0.0000, 0.6620)  8 Er 3.52-3.65, 2 Pr 3.55, 2 Ho 3.64
Ho (0.7500, 0.0000, 0.3380)  8 Er 3.52-3.65, 2 Pr 3.55, 2 Ho 3.64
Er (0.2500, 0.5000, 0.4186)  4 Er 3.50-3.64, 6 Ho 3.52-3.55, 2 Pr 3.63
Er (0.2500, 0.5000, 0.9144)  6 Pr 3.53-3.66, 4 Er 3.56-3.64, 2 Ho 3.65
Er (0.7500, 0.5000, 0.0856)  6 Pr 3.53-3.66, 4 Er 3.56-3.64, 2 Ho 3.65
Er (0.7500, 0.5000, 0.5814)  4 Er 3.50-3.64, 6 Ho 3.52-3.55, 2 Pr 3.63



2.
First-principles (PBE-GGA) data for crystalline Pr12HoEr7 at its relaxed geometry, as listed in Alexandria.

Output
density of states at the Fermi level	1.71	states/eV/atom
formation enthalpy at 0 K	0.144	eV per atom
E_tot	-91.001	eV per cell
E above lowest polymorph	0	meV per atom
size of the total moment	0.0	μB per formula unit
space group	R-3 (148)

a = 9.4666 Å, b = 9.4666 Å, c = 9.4666 Å
α = 107.94°, β = 107.94°, γ = 107.94°
With the nearest neighbours (Å) after each atom.
Sites, in units of the cell vectors:
Pr (0.0551, 0.2950, 0.4072)  5 Er 3.37-3.73, 3 Pr 3.38-3.74, 1 Ho 3.76
Pr (0.2195, 0.6742, 0.3789)  4 Pr 3.38-3.78, 4 Er 3.39-3.62
Pr (0.2950, 0.4072, 0.0551)  5 Er 3.37-3.73, 3 Pr 3.38-3.74, 1 Ho 3.76
Pr (0.3258, 0.6211, 0.7805)  4 Pr 3.38-3.78, 4 Er 3.39-3.62
Pr (0.3789, 0.2195, 0.6742)  4 Pr 3.38-3.78, 4 Er 3.39-3.62
Pr (0.4072, 0.0551, 0.2950)  5 Er 3.37-3.73, 3 Pr 3.38-3.74, 1 Ho 3.76
Pr (0.5928, 0.9449, 0.7050)  5 Er 3.37-3.73, 3 Pr 3.38-3.74, 1 Ho 3.76
Pr (0.6211, 0.7805, 0.3258)  4 Pr 3.38-3.78, 4 Er 3.39-3.62
Pr (0.6742, 0.3789, 0.2195)  4 Pr 3.38-3.78, 4 Er 3.39-3.62
Pr (0.7050, 0.5928, 0.9449)  5 Er 3.37-3.73, 3 Pr 3.38-3.74, 1 Ho 3.76
Pr (0.7805, 0.3258, 0.6211)  4 Pr 3.38-3.78, 4 Er 3.39-3.62
Pr (0.9449, 0.7050, 0.5928)  5 Er 3.37-3.73, 3 Pr 3.38-3.74, 1 Ho 3.76
Ho (0.0000, 0.0000, 0.0000)  6 Er 3.42, 6 Pr 3.76
Er (0.0068, 0.8967, 0.3175)  7 Pr 3.37-3.72, 1 Ho 3.42, 3 Er 3.47-3.66
Er (0.1033, 0.6825, 0.9932)  7 Pr 3.37-3.72, 1 Ho 3.42, 3 Er 3.47-3.66
Er (0.3175, 0.0068, 0.8967)  7 Pr 3.37-3.72, 1 Ho 3.42, 3 Er 3.47-3.66
Er (0.5000, 0.5000, 0.5000)  12 Pr 3.62-3.73
Er (0.6825, 0.9932, 0.1033)  7 Pr 3.37-3.72, 1 Ho 3.42, 3 Er 3.47-3.66
Er (0.8967, 0.3175, 0.0068)  7 Pr 3.37-3.72, 1 Ho 3.42, 3 Er 3.47-3.66
Er (0.9932, 0.1033, 0.6825)  7 Pr 3.37-3.72, 1 Ho 3.42, 3 Er 3.47-3.66



3.
First-principles (PBE-GGA) data for crystalline Pr4HoEr2 at its relaxed geometry, as listed in Alexandria.

Output
density of states at the Fermi level	1.48	states/eV/atom
formation enthalpy at 0 K	0.063	eV per atom
E_tot	-64.767	eV per cell
E above lowest polymorph	0	meV per atom
size of the total moment	0.0	μB per formula unit
space group	Fdd2 (43)

a = 12.6379 Å, b = 6.8432 Å, c = 13.6197 Å
α = 67.07°, β = 29.92°, γ = 83.01°
With the nearest neighbours (Å) after each atom.
Sites, in units of the cell vectors:
Pr (0.0188, 0.9812, 0.1221)  4 Er 3.45-3.69, 4 Pr 3.45-3.66, 2 Ho 3.70-3.75
Pr (0.1279, 0.3721, 0.2312)  4 Er 3.45-3.69, 4 Pr 3.45-3.66, 2 Ho 3.70-3.75
Pr (0.3721, 0.1279, 0.2688)  4 Er 3.45-3.69, 4 Pr 3.45-3.66, 2 Ho 3.70-3.75
Pr (0.4563, 0.6051, 0.2559)  5 Pr 3.45-3.63, 2 Er 3.60, 2 Ho 3.62-3.66
Pr (0.5673, 0.9941, 0.6449)  5 Pr 3.45-3.63, 2 Er 3.60, 2 Ho 3.62-3.66
Pr (0.6051, 0.4563, 0.6827)  5 Pr 3.45-3.63, 2 Er 3.60, 2 Ho 3.62-3.66
Pr (0.9812, 0.0188, 0.8779)  4 Er 3.45-3.69, 4 Pr 3.45-3.66, 2 Ho 3.70-3.75
Pr (0.9941, 0.5673, 0.7937)  5 Pr 3.45-3.63, 2 Er 3.60, 2 Ho 3.62-3.66
Ho (0.4964, 0.4964, 0.5036)  4 Er 3.48-3.63, 8 Pr 3.62-3.75
Ho (0.7464, 0.7464, 0.7536)  4 Er 3.48-3.63, 8 Pr 3.62-3.75
Er (0.0639, 0.5448, 0.0036)  6 Pr 3.45-3.69, 2 Ho 3.48-3.63, 2 Er 3.69
Er (0.2464, 0.8623, 0.1861)  6 Pr 3.45-3.69, 2 Ho 3.48-3.63, 2 Er 3.69
Er (0.5448, 0.0639, 0.3877)  6 Pr 3.45-3.69, 2 Ho 3.48-3.63, 2 Er 3.69
Er (0.8623, 0.2464, 0.7052)  6 Pr 3.45-3.69, 2 Ho 3.48-3.63, 2 Er 3.69



4.
First-principles (PBE-GGA) data for crystalline Pr4Ho8Er3 at its relaxed geometry, as listed in Alexandria.

Output
density of states at the Fermi level	1.97	states/eV/atom
formation enthalpy at 0 K	0.364	eV per atom
E_tot	-63.965	eV per cell
E above lowest polymorph	249	meV per atom
size of the total moment	0.0	μB per formula unit
space group	C2/m (12)

a = 9.2889 Å, b = 9.2889 Å, c = 6.7518 Å
α = 111.14°, β = 111.14°, γ = 87.55°
With the nearest neighbours (Å) after each atom.
Sites, in units of the cell vectors:
Pr (0.0000, 0.0000, 0.0000)  6 Ho 3.29-3.54, 2 Pr 3.38
Pr (0.0000, 0.0000, 0.5000)  2 Pr 3.38, 4 Ho 3.55-3.64
Pr (0.0000, 0.5000, 0.0000)  4 Ho 3.23-3.35, 2 Er 3.38
Pr (0.5000, 0.0000, 0.0000)  4 Ho 3.23-3.35, 2 Er 3.38
Ho (0.2561, 0.7439, 0.0000)  3 Er 3.13-3.37, 3 Pr 3.29-3.35
Ho (0.2682, 0.2682, 0.5144)  3 Er 3.20-3.22, 2 Ho 3.23-3.52, 2 Pr 3.54-3.55
Ho (0.2717, 0.2717, 0.0389)  1 Er 3.20, 3 Pr 3.23-3.52, 4 Ho 3.23-3.56
Ho (0.3632, 0.6368, 0.5000)  7 Ho 3.52-3.65, 4 Er 3.66-3.81, 2 Pr 3.67
Ho (0.6368, 0.3632, 0.5000)  7 Ho 3.52-3.65, 4 Er 3.66-3.81, 2 Pr 3.67
Ho (0.7283, 0.7283, 0.9611)  1 Er 3.20, 3 Pr 3.23-3.52, 4 Ho 3.23-3.56
Ho (0.7318, 0.7318, 0.4856)  3 Er 3.20-3.22, 2 Ho 3.23-3.52, 2 Pr 3.54-3.55
Ho (0.7439, 0.2561, 0.0000)  3 Er 3.13-3.37, 3 Pr 3.29-3.35
Er (0.0000, 0.5000, 0.5000)  4 Ho 3.22-3.37, 2 Pr 3.38
Er (0.5000, 0.0000, 0.5000)  4 Ho 3.22-3.37, 2 Pr 3.38
Er (0.5000, 0.5000, 0.0000)  6 Ho 3.13-3.20



5.
First-principles (PBE-GGA) data for crystalline PrHoEr at its relaxed geometry, as listed in Alexandria.

Output
density of states at the Fermi level	1.45	states/eV/atom
formation enthalpy at 0 K	0.075	eV per atom
E_tot	-13.696	eV per cell
E above lowest polymorph	54	meV per atom
size of the total moment	0.0	μB per formula unit
space group	P-6m2 (187)

a = 5.6826 Å, b = 5.6826 Å, c = 3.4893 Å
α = 90.00°, β = 90.00°, γ = 120.00°
With the nearest neighbours (Å) after each atom.
Sites, in units of the cell vectors:
Pr (0.0000, 0.0000, 0.0000)  2 Pr 3.49, 6 Ho 3.72, 6 Er 3.72
Ho (0.3333, 0.6667, 0.5000)  3 Er 3.28, 2 Ho 3.49
Er (0.6667, 0.3333, 0.5000)  3 Ho 3.28, 2 Er 3.49



6.
First-principles (PBE-GGA) data for crystalline Pr2Ho2Er7 at its relaxed geometry, as listed in Alexandria.

Output
density of states at the Fermi level	1.65	states/eV/atom
formation enthalpy at 0 K	0.154	eV per atom
E_tot	-48.958	eV per cell
E above lowest polymorph	0	meV per atom
size of the total moment	0.0	μB per formula unit
space group	C2/m (12)

a = 8.0219 Å, b = 8.0219 Å, c = 6.0688 Å
α = 106.47°, β = 106.47°, γ = 91.56°
With the nearest neighbours (Å) after each atom.
Sites, in units of the cell vectors:
Pr (0.0941, 0.0941, 0.3070)  7 Er 3.45-3.75, 2 Pr 3.46-3.73, 2 Ho 3.73
Pr (0.9059, 0.9059, 0.6930)  7 Er 3.45-3.75, 2 Pr 3.46-3.73, 2 Ho 3.73
Ho (0.2879, 0.7121, 0.0000)  6 Er 3.28-3.42
Ho (0.7121, 0.2879, 0.0000)  6 Er 3.28-3.42
Er (0.0881, 0.5638, 0.3201)  2 Ho 3.28-3.41, 6 Er 3.28-3.61, 1 Pr 3.66
Er (0.2719, 0.2719, 0.9231)  5 Er 3.34-3.53, 2 Ho 3.42, 2 Pr 3.45-3.63
Er (0.4362, 0.9119, 0.6799)  2 Ho 3.28-3.41, 6 Er 3.28-3.61, 1 Pr 3.66
Er (0.5000, 0.5000, 0.5000)  6 Er 3.28-3.39
Er (0.5638, 0.0881, 0.3201)  2 Ho 3.28-3.41, 6 Er 3.28-3.61, 1 Pr 3.66
Er (0.7281, 0.7281, 0.0769)  5 Er 3.34-3.53, 2 Ho 3.42, 2 Pr 3.45-3.63
Er (0.9119, 0.4362, 0.6799)  2 Ho 3.28-3.41, 6 Er 3.28-3.61, 1 Pr 3.66



Please write out number 1 again, unchanged.
First-principles (PBE-GGA) data for crystalline PrHoEr2 at its relaxed geometry, as listed in Alexandria.

Output
density of states at the Fermi level	1.57	states/eV/atom
formation enthalpy at 0 K	0.017	eV per atom
E_tot	-36.833	eV per cell
E above lowest polymorph	0	meV per atom
size of the total moment	0.0	μB per formula unit
space group	Pmma (51)

a = 5.6801 Å, b = 3.6379 Å, c = 12.5364 Å
α = 90.00°, β = 90.00°, γ = 90.00°
With the nearest neighbours (Å) after each atom.
Sites, in units of the cell vectors:
Pr (0.2500, 0.0000, 0.1677)  8 Er 3.53-3.66, 2 Ho 3.55, 2 Pr 3.64
Pr (0.7500, 0.0000, 0.8323)  8 Er 3.53-3.66, 2 Ho 3.55, 2 Pr 3.64
Ho (0.2500, 0.0000, 0.6620)  8 Er 3.52-3.65, 2 Pr 3.55, 2 Ho 3.64
Ho (0.7500, 0.0000, 0.3380)  8 Er 3.52-3.65, 2 Pr 3.55, 2 Ho 3.64
Er (0.2500, 0.5000, 0.4186)  4 Er 3.50-3.64, 6 Ho 3.52-3.55, 2 Pr 3.63
Er (0.2500, 0.5000, 0.9144)  6 Pr 3.53-3.66, 4 Er 3.56-3.64, 2 Ho 3.65
Er (0.7500, 0.5000, 0.0856)  6 Pr 3.53-3.66, 4 Er 3.56-3.64, 2 Ho 3.65
Er (0.7500, 0.5000, 0.5814)  4 Er 3.50-3.64, 6 Ho 3.52-3.55, 2 Pr 3.63



- Which of these has the highest formation enthalpy at 0 K?
  Pr4Ho8Er3